# PrGdN, relaxed, DFT GGA-PBE
data_PrGdN
_chemical_formula_sum 'Pr1 Gd1 N1'
_space_group_name_H-M_alt 'P 3 m 1'
_space_group_IT_number 156
_cell_length_a 3.5986
_cell_length_b 3.5986
_cell_length_c 6.3151
_cell_angle_alpha 90.00
_cell_angle_beta 90.00
_cell_angle_gamma 120.00
loop_
_space_group_symop_operation_xyz
'x,y,z'
'-y,x-y,z'
'-x+y,-x,z'
'-y,-x,z'
'-x+y,y,z'
'x,x-y,z'
loop_
_atom_site_label
_atom_site_fract_x
_atom_site_fract_y
_atom_site_fract_z
Pr1 0.0000 0.0000 0.0000
Gd1 0.6667 0.3333 0.4375
N1 0.3333 0.6667 0.2443
# Raw formation energy (eV per atom): -0.912
# Calculated density (g cm⁻³): 7.319
# Energy relative to the lowest polymorph listed for this composition (meV/atom): 0.0